Density functional theory data (PBE) for LaZnRe after structural relaxation. Values from VASP.

Computed properties:
Energy of formation, eV/f.u.: 4.0
Final energy, eV per atom: -4.879
Energy above the most stable polymorph in this dataset, meV per atom: 1031.8
Symmetry: F-43m, No. 216
Spin magnetization, μB per cell: 2.00

The structure in Quantum ESPRESSO input format:
```
&SYSTEM
  ibrav = 0, nat = 3, ntyp = 3
/
ATOMIC_SPECIES
La 138.91 La.upf
Re 186.21 Re.upf
Zn 65.41 Zn.upf
CELL_PARAMETERS angstrom
4.832 0.000 0.000
2.416 4.184 0.000
2.416 1.395 3.945
ATOMIC_POSITIONS angstrom
La 7.247 4.184 2.959
Re 0.000 0.000 0.000
Zn 4.832 2.789 1.972
```

Density functional theory data (PBE) for NbGaRu2 after structural relaxation. Values from VASP.

Computed properties:
Energy of formation, eV/f.u.: 1.2
Final energy, eV per atom: -7.603
Symmetry: I-42d, No. 122
Spin magnetization, μB per cell: 0.00

The structure in Quantum ESPRESSO input format:
```
&SYSTEM
  ibrav = 0, nat = 8, ntyp = 3
/
ATOMIC_SPECIES
Ru 101.07 Ru.upf
Nb 92.91 Nb.upf
Ga 69.72 Ga.upf
CELL_PARAMETERS angstrom
-4.677 4.885 -0.167
-0.127 -0.352 -6.754
-4.505 0.257 -3.316
ATOMIC_POSITIONS angstrom
Ru -4.049 3.056 -1.777
Ru -1.807 0.472 -5.072
Ru -5.181 1.891 -5.106
Ru -7.582 4.160 -8.519
Nb 0.000 0.000 0.000
Nb -5.792 3.704 -3.471
Ga -2.402 2.266 -3.460
Ga -3.517 1.086 -6.765
```

Density functional theory data (PBE) for Tm3ScRh4 after structural relaxation. Values from VASP.

Computed properties:
Energy of formation, eV/f.u.: -7.8
Final energy, eV per atom: -7.114
Symmetry: P4/mmm, No. 123
Spin magnetization, μB per cell: 0.00

The structure in Quantum ESPRESSO input format:
```
&SYSTEM
  ibrav = 0, nat = 8, ntyp = 3
/
ATOMIC_SPECIES
Sc 44.96 Sc.upf
Tm 168.93 Tm.upf
Rh 102.91 Rh.upf
CELL_PARAMETERS angstrom
-0.057 2.829 -1.664
-0.535 -1.650 -2.787
-13.650 0.939 2.065
ATOMIC_POSITIONS angstrom
Sc -0.296 0.590 -2.226
Tm -3.643 0.820 -1.719
Tm -7.121 1.059 -1.193
Tm -10.599 1.299 -0.667
Rh -12.065 0.830 1.825
Rh -1.584 0.109 0.240
Rh -5.081 0.350 0.769
Rh -8.569 0.590 1.296
```

Which of these has the highest final energy?
LaZnRe